# 1
HgIBrN2: relaxed, PBE.

Computed properties:
energy	-2.28	eV/atom
space group	P4/mmm
offset from the most stable computed form	0.0	meV/atom
formation energy (no corrections)	1.75	eV per atom

a = 4.361 Å, b = 4.361 Å, c = 7.646 Å
α = 90.00°, β = 90.00°, γ = 90.00°
Each line ends with the local moment (μB).
Fractional positions:
1 I 0.000 0.000 0.500  0.01
2 Hg 0.000 0.000 0.000  0.06
3 Br 0.500 0.500 0.500  0.01
4 N 0.000 0.500 0.000  1.14
5 N 0.500 0.000 0.000  1.14

# 2
HgIBrN2: relaxed, PBE.

Computed properties:
energy	-2.18	eV/atom
space group	P4/mmm
offset from the most stable computed form	102.4	meV/atom
formation energy (no corrections)	1.86	eV per atom

a = 4.272 Å, b = 4.272 Å, c = 8.338 Å
α = 90.00°, β = 90.00°, γ = 90.00°
Each line ends with the local moment (μB).
Fractional positions:
1 I 0.000 0.000 0.500  0.00
2 Hg 0.500 0.500 0.500  0.00
3 Br 0.000 0.000 0.000  0.06
4 N 0.000 0.500 0.000  1.00
5 N 0.500 0.000 0.000  1.00

# 3
NaHgIBr: relaxed, PBE.

Computed properties:
energy	-1.78	eV/atom
space group	F-43m
formation energy (no corrections)	-0.57	eV per atom

a = 5.558 Å, b = 5.558 Å, c = 5.558 Å
α = 60.00°, β = 60.00°, γ = 60.00°
Fractional positions:
1 I 0.750 0.750 0.750
2 Na 0.500 0.500 0.500
3 Hg 0.000 0.000 0.000
4 Br 0.250 0.250 0.250

# 4
NaHgIBr2: relaxed, PBE.

Computed properties:
energy	-2.10	eV/atom
space group	P2_1/m
formation energy (no corrections)	-0.80	eV per atom

a = 6.237 Å, b = 7.704 Å, c = 8.502 Å
α = 79.44°, β = 90.00°, γ = 90.00°
Fractional positions:
1 Na 0.750 0.167 0.562
2 Na 0.250 0.833 0.438
3 Hg 0.250 0.881 0.872
4 Hg 0.750 0.119 0.128
5 I 0.750 0.431 0.227
6 I 0.250 0.569 0.773
7 Br 0.750 0.949 0.887
8 Br 0.250 0.051 0.113
9 Br 0.250 0.145 0.594
10 Br 0.750 0.855 0.406

V
In order: 29.08 30.43 30.36 40.16
Unit: Å³/atom